Cr2P after structural relaxation. Source: Alexandria, functional GGA-PBE.

Structure (POSCAR):
```
Cr2P
1.0
4.1490 -1.4642 0.0000
4.1490 1.4642 0.0000
-3.0487 0.0000 5.8024
Cr P
4 2
direct
0.0612 0.0612 0.3346 Cr
0.3551 0.3551 0.9596 Cr
0.6449 0.6449 0.0404 Cr
0.9388 0.9388 0.6654 Cr
0.3413 0.3413 0.3292 P
0.6587 0.6587 0.6708 P
```

Summary:
- E_form (eV per atom) = -0.22
- density (kg/m3) = 6358
- calculated volume (Å³/atom) = 11.7
- total moment (μB per cell) = 0.00
- calculated total energy (Ry/atom) = -0.62001